Compound: PRu2Br
Source: the Alexandria database
Functional: GGA-PBE
Structure: relaxed

## Properties
* symmetry: Imm2 (44)
* size of the total moment: 0.00 μB per cell
* DOS at the Fermi energy: 3.4 states/eV/cell
* ΔE_f (raw): 0.07 eV/atom
* electronic total energy: -6.3396 eV per atom

Cell: 6.898 6.898 6.898 Å, 151.72 154.31 38.58°
Fractional coordinates of all 4 atoms:
Ru1 0.088 0.088 0.000
Ru2 0.766 0.266 0.500
Br1 0.445 0.445 0.000
P1 0.200 0.700 0.500